(1)
The following is a PBE calculation of crystalline Ca2BiB at its relaxed geometry, from the Alexandria database.

Properties
Total moment: 1.85 μB per formula unit
Volume: 26.8 Å³/atom
DFT formation energy: 110 kJ/mol of formula units
E_tot: -3.36 eV/atom
Distance to the lowest polymorph of the same formula: 0.078 eV/atom

The structure in CIF format:
```
data_Ca2BiB
_chemical_formula_sum 'Ca8 Bi4 B4'
_cell_length_a 8.0839
_cell_length_b 8.0839
_cell_length_c 6.5600
_cell_angle_alpha 90.00
_cell_angle_beta 90.00
_cell_angle_gamma 90.00
_space_group_name_H-M_alt 'I -4 2 d'
_space_group_IT_number 122
_space_group_name_Hall 'I -4 2bw'
loop_
_atom_site_label
_atom_site_fract_x
_atom_site_fract_y
_atom_site_fract_z
Ca1 0.1849 0.2500 0.1250
Bi1 0.0000 0.0000 0.5000
B1 0.0000 0.0000 0.0000
```

(2)
The following is a PBE calculation of crystalline CaCrBiB2 at its relaxed geometry, from the Alexandria database.

Properties
Total moment: 4.57 μB per formula unit
Volume: 27.0 Å³/atom
DFT formation energy: 952 kJ/mol of formula units
E_tot: -3.80 eV/atom

The structure in CIF format:
```
data_CaCrBiB2
_chemical_formula_sum 'Ca1 Cr1 Bi1 B2'
_cell_length_a 4.7653
_cell_length_b 4.7653
_cell_length_c 5.9529
_cell_angle_alpha 90.00
_cell_angle_beta 90.00
_cell_angle_gamma 90.00
_space_group_name_H-M_alt 'P 4/m m m'
_space_group_IT_number 123
_space_group_name_Hall '-P 4 2'
loop_
_atom_site_label
_atom_site_fract_x
_atom_site_fract_y
_atom_site_fract_z
Ca1 0.0000 0.0000 0.0000
Cr1 0.5000 0.5000 0.0000
Bi1 0.0000 0.0000 0.5000
B1 0.0000 0.5000 0.5000
```

(3)
The following is a PBE calculation of crystalline Ca2BiBH at its relaxed geometry, from the Alexandria database.

Properties
Total moment: 0.00 μB per formula unit
Volume: 20.0 Å³/atom
E_tot: -3.43 eV/atom
Distance to the lowest polymorph of the same formula: 0.000 eV/atom

The structure in CIF format:
```
data_Ca2BiBH
_chemical_formula_sum 'Ca2 Bi1 B1 H1'
_cell_length_a 4.9586
_cell_length_b 4.9586
_cell_length_c 4.0749
_cell_angle_alpha 90.00
_cell_angle_beta 90.00
_cell_angle_gamma 90.00
_space_group_name_H-M_alt 'P 4/m m m'
_space_group_IT_number 123
_space_group_name_Hall '-P 4 2'
loop_
_atom_site_label
_atom_site_fract_x
_atom_site_fract_y
_atom_site_fract_z
Ca1 0.0000 0.5000 0.0000
Bi1 0.0000 0.0000 0.5000
B1 0.5000 0.5000 0.5000
H1 0.5000 0.5000 0.0000
```

(4)
The following is a PBE calculation of crystalline Ca2BiBH at its relaxed geometry, from the Alexandria database.

Properties
Total moment: 1.58 μB per formula unit
Volume: 21.7 Å³/atom
E_tot: -3.35 eV/atom
Distance to the lowest polymorph of the same formula: 0.076 eV/atom

The structure in CIF format:
```
data_Ca2BiBH
_chemical_formula_sum 'Ca2 Bi1 B1 H1'
_cell_length_a 5.5760
_cell_length_b 5.5760
_cell_length_c 3.4952
_cell_angle_alpha 90.00
_cell_angle_beta 90.00
_cell_angle_gamma 90.00
_space_group_name_H-M_alt 'P 4/m m m'
_space_group_IT_number 123
_space_group_name_Hall '-P 4 2'
loop_
_atom_site_label
_atom_site_fract_x
_atom_site_fract_y
_atom_site_fract_z
Ca1 0.0000 0.5000 0.0000
Bi1 0.0000 0.0000 0.5000
B1 0.5000 0.5000 0.0000
H1 0.5000 0.5000 0.5000
```

(5)
The following is a PBE calculation of crystalline Ca2MgBiB at its relaxed geometry, from the Alexandria database.

Properties
Total moment: 0.00 μB per formula unit
Volume: 25.4 Å³/atom
DFT formation energy: -60 kJ/mol of formula units
E_tot: -3.36 eV/atom

The structure in CIF format:
```
data_Ca2MgBiB
_chemical_formula_sum 'Ca2 Mg1 Bi1 B1'
_cell_length_a 5.2315
_cell_length_b 5.2315
_cell_length_c 4.6365
_cell_angle_alpha 90.00
_cell_angle_beta 90.00
_cell_angle_gamma 90.00
_space_group_name_H-M_alt 'P 4/m m m'
_space_group_IT_number 123
_space_group_name_Hall '-P 4 2'
loop_
_atom_site_label
_atom_site_fract_x
_atom_site_fract_y
_atom_site_fract_z
Ca1 0.0000 0.5000 0.0000
Mg1 0.0000 0.0000 0.5000
Bi1 0.5000 0.5000 0.5000
B1 0.0000 0.0000 0.0000
```

(6)
The following is a PBE calculation of crystalline CaBi2BN at its relaxed geometry, from the Alexandria database.

Properties
Total moment: 2.93 μB per formula unit
Volume: 35.1 Å³/atom
E_tot: -2.77 eV/atom
ΔE_f (raw): 2185 meV per atom

The structure in CIF format:
```
data_CaBi2BN
_chemical_formula_sum 'Ca1 Bi2 B1 N1'
_cell_length_a 5.9191
_cell_length_b 5.9191
_cell_length_c 5.0049
_cell_angle_alpha 90.00
_cell_angle_beta 90.00
_cell_angle_gamma 90.00
_space_group_name_H-M_alt 'P 4/m m m'
_space_group_IT_number 123
_space_group_name_Hall '-P 4 2'
loop_
_atom_site_label
_atom_site_fract_x
_atom_site_fract_y
_atom_site_fract_z
Ca1 0.0000 0.0000 0.0000
Bi1 0.0000 0.5000 0.0000
B1 0.0000 0.0000 0.5000
N1 0.5000 0.5000 0.5000
```